La4NdEr10 after structural relaxation. Source: the Alexandria database, functional GGA-PBE.

Properties
The calculation puts the density of states at the Fermi level at 23.03 states/eV/f.u. Its formation enthalpy at 0 K is 351.3 meV/atom.

Lattice parameters (Å, degrees): 9.712 9.712 10.767 90.00 90.00 90.00
Space group I4/m (No. 87)
Asymmetric unit:
La1 0.066 0.336 0.000 (multiplicity 8)
Nd1 0.000 0.000 0.000 (multiplicity 2)
Er1 0.000 0.500 0.250 (multiplicity 4)
Er2 0.115 0.209 0.341 (multiplicity 16)

=====

La4Nd10Er after structural relaxation. Source: the Alexandria database, functional GGA-PBE.

Properties
The calculation puts the density of states at the Fermi level at 20.59 states/eV/f.u. Its formation enthalpy at 0 K is 213.0 meV/atom.

Lattice parameters (Å, degrees): 11.679 11.679 8.011 90.00 90.00 90.00
Space group I4/mmm (No. 139)
Asymmetric unit:
La1 0.227 0.227 0.000 (multiplicity 8)
Nd1 0.000 0.210 0.289 (multiplicity 16)
Nd2 0.000 0.500 0.250 (multiplicity 4)
Er1 0.000 0.000 0.000 (multiplicity 2)

=====

LaNd7Er3 after structural relaxation. Source: the Alexandria database, functional GGA-PBE.

Properties
The calculation puts the density of states at the Fermi level at 15.08 states/eV/f.u. Its formation enthalpy at 0 K is 213.9 meV/atom.

Lattice parameters (Å, degrees): 11.848 10.216 6.476 90.00 95.98 90.00
Space group C2/m (No. 12)
Asymmetric unit:
La1 0.000 0.000 0.000 (multiplicity 2)
Nd1 0.000 0.000 0.500 (multiplicity 2)
Nd2 0.234 0.500 0.713 (multiplicity 4)
Nd3 0.247 0.324 0.241 (multiplicity 8)
Er1 0.000 0.332 0.500 (multiplicity 4)
Er2 0.000 0.500 0.000 (multiplicity 2)

=====

- formation enthalpy at 0 K of number 2 (La4Nd10Er)?
  213.0 meV/atom